The following is a DFT calculation (PBE) of a relaxed structure of Tb3Gd3Cd2.

```
Tb3Gd3Cd2
1.0
5.4842 0.0000 0.0000
0.0000 3.4747 6.0186
0.0000 -3.4747 6.0186
Gd Tb Cd
3 3 2
direct
0.0000 0.3445 0.8274
0.5000 0.1722 0.1722
0.0000 0.8274 0.3445
0.5000 0.6558 0.1717
0.5000 0.1717 0.6558
0.0000 0.8279 0.8279
0.0000 0.3336 0.3336
0.5000 0.6669 0.6669
```

Output
The calculation puts the calculated volume at 28.67 A^3/atom. The value obtained for the energy of formation is -105 meV/atom. Its space group is Amm2 (38).